[1]
Below is a relaxed AlAs2Ir crystal, with properties calculated at the PBE level.

As for the formation enthalpy at 0 K: -0.50 eV per formula unit.

The structure belongs to space group P4mm (No. 99); the cell edges are 2.8926, 2.8926 and 8.4920 Å and the angles 90.00°, 90.00° and 90.00°. The inequivalent atoms are Al at (0.0000, 0.0000, 0.0000), As at (0.0000, 0.0000, 0.5992), As at (0.5000, 0.5000, 0.2343) and Ir at (0.5000, 0.5000, 0.7984).


[2]
Below is a relaxed Zn2SiMo crystal, with properties calculated at the PBE level.

The energy relative to the elements, uncorrected is 0.151 eV per atom.

The structure belongs to space group Cmm2 (No. 35); the cell edges are 3.4784, 4.1211 and 8.4622 Å and the angles 90.00°, 90.00° and 90.00°. The inequivalent atoms are Zn at (0.0000, 0.0000, 0.0000), Zn at (0.0000, 0.5000, 0.2475), Si at (0.0000, 0.0000, 0.5167) and Mo at (0.0000, 0.5000, 0.7477).


[3]
Below is a relaxed Pr2HoEr9 crystal, with properties calculated at the PBE level.

As for the formation enthalpy at 0 K: 0.96 eV per formula unit.

The structure belongs to space group P6/mmm (No. 191); the cell edges are 11.2130, 11.2130 and 3.4821 Å and the angles 90.00°, 90.00° and 120.00°. The inequivalent atoms are Pr at (0.3333, 0.6667, 0.0000), Ho at (0.0000, 0.0000, 0.0000), Er at (0.0000, 0.5000, 0.0000) and Er at (0.1734, 0.3468, 0.5000).


[4]
Below is a relaxed Na2Li6Sn3 crystal, with properties calculated at the PBE level.

As for the formation enthalpy at 0 K: -0.09 eV per formula unit.

The structure belongs to space group I4/mmm (No. 139); the cell edges are 4.8414, 4.8414 and 21.9503 Å and the angles 90.00°, 90.00° and 90.00°. The inequivalent atoms are Na at (0.0000, 0.0000, 0.0585), Li at (0.0000, 0.0000, 0.2060), Li at (0.0000, 0.5000, 0.1097), Sn at (0.0000, 0.0000, 0.3370) and Sn at (0.0000, 0.0000, 0.5000).


[5]
Below is a relaxed CoRe2W crystal, with properties calculated at the PBE level.

As for the formation enthalpy at 0 K: 0.78 eV per formula unit.

The structure belongs to space group P2/m (No. 10); the cell edges are 2.6556, 4.3361 and 5.1138 Å and the angles 90.00°, 99.42° and 90.00°. The inequivalent atoms are Co at (0.0000, 0.0000, 0.0000), Re at (0.2654, 0.5000, 0.7602) and W at (0.5000, 0.0000, 0.5000).


Number 1: final energy -5.601 eV per atom. Number 2: final energy -4.549 eV per atom. Number 3: final energy -4.521 eV per atom. Number 4: final energy -2.384 eV per atom. Number 5: final energy -11.043 eV per atom.